DFT (GGA-PBEsol) results for an optimized crystal structure of ZnCo2Br.

Structure (POSCAR):
```
ZnCo2Br
1.0
-1.175 -0.476 2.649
-2.381 -1.161 -1.267
2.993 -6.343 0.189
Zn Co Br
1 2 1
direct
0.000 0.000 0.420
0.000 0.000 0.039
0.500 0.500 0.229
0.500 0.500 0.812
```

Formation energy from raw total energies   1.4 eV/f.u.
Crystal system   tetragonal
Polymorph energy (0 for the lowest one)   0.00 eV/f.u.
Total moment   3.06 μB/f.u.
DOS at the Fermi energy   3.90 states/eV per cell
VASP energy   -17.5 eV per formula unit